# NaMn3Tl4F12

A relaxed structure of NaMn3Tl4F12 (PBE+U, Alexandria).

Cell: 7.459 7.459 7.459 Å, 109.47 109.47 109.47°
Positions (direct):
Na 0.000 0.000 0.000
Mn 0.500 0.000 0.500
Mn 0.500 0.500 0.000
Mn 0.000 0.500 0.500
Tl 0.500 0.500 0.500
Tl 0.000 0.000 0.500
Tl 0.500 0.000 0.000
Tl 0.000 0.500 0.000
F 0.250 0.500 0.750
F 0.731 0.000 0.731
F 0.269 0.000 0.269
F 0.750 0.500 0.250
F 0.731 0.731 0.000
F 0.269 0.269 0.000
F 0.750 0.250 0.500
F 0.250 0.750 0.500
F 0.500 0.250 0.750
F 0.000 0.731 0.731
F 0.500 0.750 0.250
F 0.000 0.269 0.269

For the total DFT energy (no corrections), the calculation gives -5.10 eV/atom. For the density, the calculation gives 6.41 Mg/m³.